[1]
Material: Pr2Nd2Er5
Method: DFT, PBE-GGA
State: relaxed

* total magnetization: 0.00 μB per formula unit
* distance to the lowest polymorph of the same formula: 0.035 eV per atom
* formation energy: 236 meV per atom
* energy: -4.4203 eV per atom

Cell lengths 21.4933, 3.5056, 8.3595 Å; angles 90.00, 99.91, 90.00 degrees
Last column: nearest neighbours and their distance in Å.
Space group C2/m (No. 12)
Unique sites:
Pr 0.1866 0.0000 0.1440 (multiplicity 4)  4 Er 3.50-3.61, 2 Pr 3.51
Nd 0.0453 0.5000 0.3542 (multiplicity 4)  3 Er 3.18-3.43, 3 Nd 3.37-3.51
Er 0.0000 0.0000 0.0000 (multiplicity 2)  4 Er 3.34-3.51, 4 Nd 3.43
Er 0.1016 0.0000 0.7399 (multiplicity 4)  5 Er 3.34-3.51, 1 Pr 3.55, 4 Nd 3.58-3.69
Er 0.1900 0.5000 0.5223 (multiplicity 4)  1 Nd 3.18, 6 Er 3.19-3.51, 1 Pr 3.50

---

[2]
Material: NaScSn
Method: DFT, PBE-GGA
State: relaxed

* total magnetization: 0.00 μB per formula unit
* formation energy: -234 meV per atom
* energy: -4.1187 eV per atom

Cell lengths 4.9577, 4.9577, 6.6944 Å; angles 90.00, 90.00, 120.00 degrees
Last column: nearest neighbours and their distance in Å.
Space group P6_3/mmc (No. 194)
Unique sites:
Na 0.3333 0.6667 0.2500 (multiplicity 2)  3 Sn 2.86
Sc 0.0000 0.0000 0.0000 (multiplicity 2)  6 Sn 3.32, 6 Na 3.32, 2 Sc 3.35
Sn 0.3333 0.6667 0.7500 (multiplicity 2)  3 Na 2.86

---

[3]
Material: Ce8Ga2Bi
Method: DFT, PBE-GGA
State: relaxed

* total magnetization: 5.51 μB per formula unit
* formation energy: -235 meV per atom
* energy: -5.4537 eV per atom

Cell lengths 8.4103, 13.6372, 5.6475 Å; angles 90.00, 108.15, 90.00 degrees
Last column: nearest neighbours and their distance in Å.
Space group C2/m (No. 12)
Unique sites:
Ce 0.0000 0.2428 0.0000 (multiplicity 4)  2 Ga 2.98, 1 Bi 3.31
Ce 0.0855 0.5000 0.8306 (multiplicity 4)  1 Ce 2.73
Ce 0.1793 0.1058 0.5801 (multiplicity 8)  2 Ce 2.87-2.89, 2 Ga 3.08-3.15
Ga 0.0000 0.3116 0.5000 (multiplicity 4)  8 Ce 2.98-3.15
Bi 0.0000 0.0000 0.0000 (multiplicity 2)  12 Ce 3.31-3.49

---

[4]
Material: CaGeO2
Method: DFT, PBE-GGA
State: relaxed

* total magnetization: 0.00 μB per formula unit
* formation energy without anion corrections: -1.7912 eV/atom
* energy: -5.9250 eV per atom

Cell lengths 3.3575, 3.3575, 18.5143 Å; angles 90.00, 90.00, 120.00 degrees
Last column: nearest neighbours and their distance in Å.
Space group R-3m (No. 166, hexagonal axes)
Unique sites:
Ca 0.0000 0.0000 0.0000 (multiplicity 3)  6 O 2.31
Ge 0.0000 0.0000 0.5000 (multiplicity 3)  2 O 1.84
O 0.0000 0.0000 0.4009 (multiplicity 6)  1 Ge 1.84

---

[5]
Material: TcHgMo2
Method: DFT, PBE-GGA
State: relaxed

* total magnetization: 0.00 μB per formula unit
* formation energy: 562 meV per atom
* energy: -7.5208 eV per atom

Cell lengths 6.4273, 6.4273, 6.4273 Å; angles 90.00, 90.00, 90.00 degrees
Last column: nearest neighbours and their distance in Å.
Space group F-43m (No. 216)
Unique sites:
Tc 0.0000 0.0000 0.0000 (multiplicity 4)  4 Hg 2.78, 4 Mo 2.78
Hg 0.2500 0.2500 0.7500 (multiplicity 4)  4 Mo 2.78, 4 Tc 2.78
Mo 0.0000 0.0000 0.5000 (multiplicity 4)  4 Hg 2.78, 4 Mo 2.78
Mo 0.2500 0.2500 0.2500 (multiplicity 4)  4 Mo 2.78, 4 Tc 2.78

---

[6]
Material: MoBrN2
Method: DFT, PBE-GGA
State: relaxed

* total magnetization: 0.00 μB per formula unit
* formation energy without anion corrections: 0.4168 eV/atom
* distance to the lowest polymorph of the same formula: 0.208 eV per atom
* energy: -6.8718 eV per atom

Cell lengths 3.0793, 3.0793, 19.5569 Å; angles 90.00, 90.00, 120.00 degrees
Last column: nearest neighbours and their distance in Å.
Space group R-3m (No. 166, hexagonal axes)
Unique sites:
Mo 0.0000 0.0000 0.0000 (multiplicity 3)  6 N 2.11
Br 0.0000 0.0000 0.5000 (multiplicity 3)  2 N 2.13
N 0.0000 0.0000 0.3912 (multiplicity 6)  3 Mo 2.11, 1 Br 2.13

---

[7]
Material: NbGeS4
Method: DFT, PBE-GGA
State: relaxed

* total magnetization: 0.00 μB per formula unit
* formation energy without anion corrections: -0.5065 eV/atom
* energy: -5.7060 eV per atom

Cell lengths 6.1886, 6.2013, 11.1990 Å; angles 90.00, 90.00, 90.00 degrees
Last column: nearest neighbours and their distance in Å.
Space group P222 (No. 16)
Unique sites:
Nb 0.0000 0.0000 0.0000 (multiplicity 1)  4 S 2.32
Nb 0.0000 0.5000 0.5000 (multiplicity 1)  4 S 2.32
Ge 0.0000 0.0000 0.5000 (multiplicity 1)  4 S 2.32
Ge 0.5000 0.0000 0.0000 (multiplicity 1)  4 S 2.32
S 0.1980 0.2504 0.3909 (multiplicity 4)  1 Nb 2.32, 1 Ge 2.32
S 0.2502 0.1974 0.8908 (multiplicity 4)  1 Ge 2.32, 1 Nb 2.32

---

[8]
Material: Dy3Ga3Ge2
Method: DFT, PBE-GGA
State: relaxed

* total magnetization: 0.00 μB per formula unit
* formation energy: -648 meV per atom
* energy: -4.6630 eV per atom

Cell lengths 4.0768, 11.0224, 15.4342 Å; angles 90.00, 90.00, 90.00 degrees
Last column: nearest neighbours and their distance in Å.
Space group Cmcm (No. 63)
Unique sites:
Dy 0.0000 0.0811 0.2500 (multiplicity 4)  3 Ga 2.88-2.95, 4 Ge 3.00
Dy 0.0000 0.3626 0.0926 (multiplicity 8)  4 Ge 3.03-3.34, 7 Ga 3.10-3.27
Ga 0.0000 0.0694 0.0588 (multiplicity 8)  1 Ga 2.37, 2 Ge 2.48
Ga 0.0000 0.1802 0.7500 (multiplicity 4)  2 Ge 2.64, 1 Dy 2.88
Ge 0.0000 0.3368 0.6204 (multiplicity 8)  3 Ga 2.48-2.64

---

[9]
Material: Cs2CaSi2Au7
Method: DFT, PBE-GGA
State: relaxed

* total magnetization: 0.00 μB per formula unit
* formation energy without anion corrections: -0.3518 eV/atom
* energy: -3.4765 eV per atom

Cell lengths 6.8228, 6.8239, 13.1360 Å; angles 90.00, 90.18, 90.00 degrees
Last column: nearest neighbours and their distance in Å.
Space group C2/m (No. 12)
Unique sites:
Cs 0.0324 0.0000 0.1392 (multiplicity 4)  8 Au 3.42-3.80, 1 Cs 3.68, 1 Si 3.74
Ca 0.0000 0.0000 0.5000 (multiplicity 2)  12 Au 3.10-3.41
Si 0.0737 0.5000 0.2937 (multiplicity 4)  6 Au 2.47-2.76
Au 0.0000 0.5000 0.5000 (multiplicity 2)  2 Si 2.76, 4 Au 2.89
Au 0.0281 0.5000 0.1032 (multiplicity 4)  1 Si 2.52, 1 Au 2.74
Au 0.2211 0.2776 0.6483 (multiplicity 8)  2 Si 2.47-2.63

---

[10]
Material: ZrPt2Rh
Method: DFT, PBE-GGA
State: relaxed

* total magnetization: 0.00 μB per formula unit
* formation energy: -233 meV per atom
* energy: -7.2280 eV per atom

Cell lengths 2.8806, 2.8806, 27.7903 Å; angles 90.00, 90.00, 120.00 degrees
Last column: nearest neighbours and their distance in Å.
Space group R3m (No. 160, hexagonal axes)
Unique sites:
Zr 0.0000 0.0000 0.0000 (multiplicity 3)  3 Rh 2.82, 3 Pt 2.87, 6 Zr 2.88
Pt 0.0000 0.0000 0.2490 (multiplicity 3)  3 Zr 2.87, 9 Pt 2.88-2.89
Pt 0.0000 0.0000 0.4974 (multiplicity 3)  3 Rh 2.82, 9 Pt 2.88-2.89
Rh 0.0000 0.0000 0.7487 (multiplicity 3)  3 Zr 2.82, 3 Pt 2.82, 6 Rh 2.88

---

[11]
Material: Pr2HoPa2Ru5
Method: DFT, PBE-GGA
State: relaxed

* total magnetization: 0.00 μB per formula unit
* formation energy: -251 meV per atom
* energy: -8.2018 eV per atom

Cell lengths 10.8050, 10.8050, 3.6837 Å; angles 90.00, 90.00, 90.00 degrees
Last column: nearest neighbours and their distance in Å.
Space group P4/mbm (No. 127)
Unique sites:
Pr 0.1747 0.3253 0.0000 (multiplicity 4)  1 Pa 2.92, 2 Ru 3.24
Ho 0.0000 0.0000 0.0000 (multiplicity 2)  8 Ru 2.98
Pa 0.1341 0.6341 0.0000 (multiplicity 4)  6 Ru 2.64-2.76, 1 Pr 2.92
Ru 0.0000 0.5000 0.5000 (multiplicity 2)  4 Pa 2.76
Ru 0.0518 0.7891 0.5000 (multiplicity 8)  2 Pa 2.64

---

[12]
Material: Ba2NaIO4
Method: DFT, PBE-GGA
State: relaxed

* total magnetization: 0.00 μB per formula unit
* formation energy without anion corrections: -1.6136 eV/atom
* energy: -4.9321 eV per atom

Cell lengths 6.5721, 6.5721, 7.2002 Å; angles 90.00, 90.00, 90.00 degrees
Last column: nearest neighbours and their distance in Å.
Space group I-4 (No. 82)
Unique sites:
Ba 0.0000 0.0000 0.0000 (multiplicity 2)  4 O 2.72
Ba 0.0000 0.5000 0.2500 (multiplicity 2)  4 O 2.59
Na 0.0000 0.0000 0.5000 (multiplicity 2)  4 O 2.50
I 0.0000 0.5000 0.7500 (multiplicity 2)  4 O 2.16
O 0.1780 0.2250 0.7286 (multiplicity 8)  1 I 2.16

---

[13]
Material: Sc2BeAgF
Method: DFT, PBE-GGA
State: relaxed

* total magnetization: 0.00 μB per formula unit
* formation energy without anion corrections: -0.2048 eV/atom
* energy: -4.4272 eV per atom

Cell lengths 4.8624, 4.8624, 4.2678 Å; angles 90.00, 90.00, 90.00 degrees
Last column: nearest neighbours and their distance in Å.
Space group P4/mmm (No. 123)
Unique sites:
Sc 0.0000 0.5000 0.0000 (multiplicity 2)  2 Be 2.43
Be 0.0000 0.0000 0.0000 (multiplicity 1)  2 Ag 2.13
Ag 0.0000 0.0000 0.5000 (multiplicity 1)  2 Be 2.13
F 0.5000 0.5000 0.5000 (multiplicity 1)  8 Sc 3.23, 4 Ag 3.44

---

[14]
Material: GdErScTl
Method: DFT, PBE-GGA
State: relaxed

* total magnetization: 8.62 μB per formula unit
* formation energy: -68 meV per atom
* energy: -6.9032 eV per atom

Cell lengths 7.5855, 7.5855, 7.5855 Å; angles 90.00, 90.00, 90.00 degrees
Last column: nearest neighbours and their distance in Å.
Space group F-43m (No. 216)
Unique sites:
Gd 0.0000 0.0000 0.0000 (multiplicity 4)  4 Tl 3.28, 4 Sc 3.28
Er 0.0000 0.0000 0.5000 (multiplicity 4)  4 Sc 3.28, 4 Tl 3.28
Sc 0.2500 0.2500 0.2500 (multiplicity 4)  4 Gd 3.28, 4 Er 3.28
Tl 0.2500 0.2500 0.7500 (multiplicity 4)  4 Er 3.28, 4 Gd 3.28

---

[15]
Material: TiBeAs
Method: DFT, PBE-GGA
State: relaxed

* total magnetization: 0.00 μB per formula unit
* formation energy: -226 meV per atom
* energy: -5.6492 eV per atom

Cell lengths 4.8943, 4.7037, 7.7786 Å; angles 90.00, 98.29, 90.00 degrees
Last column: nearest neighbours and their distance in Å.
Space group C2/m (No. 12)
Unique sites:
Ti 0.1851 0.0000 0.2249 (multiplicity 4)  4 Be 2.46-2.64, 4 As 2.58-2.67
Be 0.1920 0.5000 0.0707 (multiplicity 4)  1 Be 2.04, 1 As 2.25
As 0.2165 0.5000 0.3623 (multiplicity 4)  1 Be 2.25

---

[16]
Material: PrNdRhPb
Method: DFT, PBE-GGA
State: relaxed

* total magnetization: 0.00 μB per formula unit
* formation energy: -420 meV per atom
* energy: -5.5713 eV per atom

Cell lengths 7.5494, 7.5494, 7.5494 Å; angles 90.00, 90.00, 90.00 degrees
Last column: nearest neighbours and their distance in Å.
Space group F-43m (No. 216)
Unique sites:
Pr 0.0000 0.0000 0.0000 (multiplicity 4)  4 Pb 3.27, 4 Rh 3.27
Nd 0.0000 0.0000 0.5000 (multiplicity 4)  4 Rh 3.27, 4 Pb 3.27
Rh 0.2500 0.2500 0.2500 (multiplicity 4)  4 Pr 3.27, 4 Nd 3.27
Pb 0.2500 0.2500 0.7500 (multiplicity 4)  4 Nd 3.27, 4 Pr 3.27

---

[17]
Material: TbDy2TmSe5
Method: DFT, PBE-GGA
State: relaxed

* total magnetization: 0.05 μB per formula unit
* formation energy without anion corrections: -1.1393 eV/atom
* energy: -5.1091 eV per atom

Cell lengths 5.0869, 5.0869, 10.7168 Å; angles 90.00, 90.00, 90.00 degrees
Last column: nearest neighbours and their distance in Å.
Space group P4/mmm (No. 123)
Unique sites:
Tb 0.0000 0.0000 0.0000 (multiplicity 1)  2 Se 2.66
Dy 0.5000 0.5000 0.3391 (multiplicity 2)  4 Se 3.07
Tm 0.0000 0.0000 0.5000 (multiplicity 1)  6 Se 2.54-2.70
Se 0.0000 0.0000 0.2483 (multiplicity 2)  1 Tb 2.66, 1 Tm 2.70
Se 0.0000 0.5000 0.5000 (multiplicity 2)  2 Tm 2.54
Se 0.5000 0.5000 0.0000 (multiplicity 1)  4 Tb 3.60, 2 Dy 3.63

---

[18]
Material: Cd6Sb5
Method: DFT, PBE-GGA
State: relaxed

* total magnetization: 0.00 μB per formula unit
* formation energy without anion corrections: 0.4602 eV/atom
* energy: -1.9128 eV per atom

Cell lengths 21.9485, 21.9485, 10.4414 Å; angles 90.00, 90.00, 120.00 degrees
Last column: nearest neighbours and their distance in Å.
Space group R-3c (No. 167, hexagonal axes)
Unique sites:
Cd 0.0039 0.4403 0.0011 (multiplicity 36)  1 Cd 2.71, 1 Sb 2.80
Sb 0.0000 0.0000 0.1250 (multiplicity 12)  2 Sb 2.61
Sb 0.0000 0.3625 0.7500 (multiplicity 18)  4 Cd 2.80-3.11

---

[19]
Material: OsPbW
Method: DFT, PBE-GGA
State: relaxed

* total magnetization: 0.00 μB per formula unit
* formation energy: 635 meV per atom
* energy: -8.6624 eV per atom

Cell lengths 3.0907, 3.0907, 12.3347 Å; angles 90.00, 90.00, 90.00 degrees
Last column: nearest neighbours and their distance in Å.
Space group I4mm (No. 107)
Unique sites:
Os 0.0000 0.0000 0.0000 (multiplicity 2)  4 W 2.58
Pb 0.0000 0.0000 0.6956 (multiplicity 2)  4 Pb 3.09, 4 W 3.24, 4 Os 3.26
W 0.0000 0.0000 0.3893 (multiplicity 2)  4 Os 2.58

---

[20]
Material: HgOs2Ru
Method: DFT, PBE-GGA
State: relaxed

* total magnetization: 0.00 μB per formula unit
* formation energy: 497 meV per atom
* energy: -7.5124 eV per atom

Cell lengths 2.7819, 2.7819, 28.2110 Å; angles 90.00, 90.00, 120.00 degrees
Last column: nearest neighbours and their distance in Å.
Space group R-3m (No. 166, hexagonal axes)
Unique sites:
Hg 0.0000 0.0000 0.0000 (multiplicity 3)  6 Hg 2.78, 6 Os 3.04
Os 0.0000 0.0000 0.2420 (multiplicity 6)  3 Ru 2.66, 6 Os 2.78
Ru 0.0000 0.0000 0.5000 (multiplicity 3)  6 Os 2.66, 6 Ru 2.78